KSn4Au9: optimized geometry, PBE.

Magnetization: 0.0 Bohr magnetons per cell
DFT total energy: -0.257 Ry per atom

Cell and atoms, written as CIF:
```
data_KSn4Au9
_chemical_formula_sum 'K2 Sn8 Au18'
_cell_length_a 9.6063
_cell_length_b 9.6062
_cell_length_c 9.6024
_cell_angle_alpha 120.01
_cell_angle_beta 120.01
_cell_angle_gamma 90.00
_space_group_name_H-M_alt 'P 1'
_space_group_IT_number 1
_space_group_name_Hall 'P 1'
loop_
_atom_site_label
_atom_site_type_symbol
_atom_site_fract_x
_atom_site_fract_y
_atom_site_fract_z
K1 K 0.7500 0.7500 0.5000
K2 K 0.2500 0.2500 0.5000
Sn1 Sn 0.3105 0.8105 0.2463
Sn2 Sn 0.9358 0.4358 0.2463
Sn3 Sn 0.5642 0.6895 0.7537
Sn4 Sn 0.1895 0.0642 0.7537
Sn5 Sn 0.6895 0.1895 0.7537
Sn6 Sn 0.0642 0.5642 0.7537
Sn7 Sn 0.8105 0.9358 0.2463
Sn8 Sn 0.4358 0.3105 0.2463
Au1 Au 0.0378 0.2024 0.0000
Au2 Au 0.9622 0.7976 0.0000
Au3 Au 0.5378 0.2976 0.0000
Au4 Au 0.4622 0.7024 0.0000
Au5 Au 0.2976 0.4622 0.0000
Au6 Au 0.7024 0.5378 0.0000
Au7 Au 0.2024 0.9622 0.0000
Au8 Au 0.7976 0.0378 0.0000
Au9 Au 0.0000 0.5000 0.0000
Au10 Au 0.5000 0.0000 0.0000
Au11 Au 0.8015 0.3015 0.3645
Au12 Au 0.5630 0.0630 0.3645
Au13 Au 0.9370 0.1985 0.6355
Au14 Au 0.6985 0.4370 0.6355
Au15 Au 0.1985 0.6985 0.6355
Au16 Au 0.4370 0.9370 0.6355
Au17 Au 0.3015 0.5630 0.3645
Au18 Au 0.0630 0.8015 0.3645
```

***

KSn4Au6: optimized geometry, PBE.

Magnetization: 0.0 Bohr magnetons per cell
Energy above the most stable polymorph in this dataset: 55 meV per atom
DFT total energy: -0.256 Ry per atom

Cell and atoms, written as CIF:
```
data_KSn4Au6
_chemical_formula_sum 'K1 Sn4 Au6'
_cell_length_a 7.3549
_cell_length_b 7.3549
_cell_length_c 7.3549
_cell_angle_alpha 88.41
_cell_angle_beta 120.92
_cell_angle_gamma 120.92
_space_group_name_H-M_alt 'P 1'
_space_group_IT_number 1
_space_group_name_Hall 'P 1'
loop_
_atom_site_label
_atom_site_type_symbol
_atom_site_fract_x
_atom_site_fract_y
_atom_site_fract_z
K1 K 0.0000 0.0000 0.0000
Sn1 Sn 0.0000 0.1611 0.5443
Sn2 Sn 0.6169 0.4557 0.4557
Sn3 Sn 0.0000 0.5443 0.1611
Sn4 Sn 0.3831 0.8389 0.8389
Au1 Au 0.0000 0.8144 0.4295
Au2 Au 0.0000 0.4295 0.8144
Au3 Au 0.6151 0.1856 0.1856
Au4 Au 0.5000 0.0000 0.5000
Au5 Au 0.3849 0.5705 0.5705
Au6 Au 0.5000 0.5000 0.0000
```

***

KSn2Au: optimized geometry, PBE.

Magnetization: 0.0 Bohr magnetons per cell
DFT total energy: -0.248 Ry per atom

Cell and atoms, written as CIF:
```
data_KSn2Au
_chemical_formula_sum 'K1 Sn2 Au1'
_cell_length_a 4.5847
_cell_length_b 4.5847
_cell_length_c 7.5832
_cell_angle_alpha 72.40
_cell_angle_beta 72.40
_cell_angle_gamma 60.00
_space_group_name_H-M_alt 'P 1'
_space_group_IT_number 1
_space_group_name_Hall 'P 1'
loop_
_atom_site_label
_atom_site_type_symbol
_atom_site_fract_x
_atom_site_fract_y
_atom_site_fract_z
K1 K 0.4976 0.4976 0.5072
Sn1 Sn 0.0476 0.0476 0.8572
Sn2 Sn 0.2857 0.2857 0.1430
Au1 Au 0.6691 0.6691 0.9926
```

***

K3Sn3Au8: optimized geometry, PBE.

Magnetization: 0.0 Bohr magnetons per cell
Energy above the most stable polymorph in this dataset: 0 meV per atom
DFT total energy: -0.237 Ry per atom

Cell and atoms, written as CIF:
```
data_K3Sn3Au8
_chemical_formula_sum 'K3 Sn3 Au8'
_cell_length_a 4.6492
_cell_length_b 9.0621
_cell_length_c 9.8132
_cell_angle_alpha 63.71
_cell_angle_beta 76.30
_cell_angle_gamma 75.14
_space_group_name_H-M_alt 'P 1'
_space_group_IT_number 1
_space_group_name_Hall 'P 1'
loop_
_atom_site_label
_atom_site_type_symbol
_atom_site_fract_x
_atom_site_fract_y
_atom_site_fract_z
K1 K 0.2979 0.7645 0.6397
K2 K 0.7021 0.2355 0.3603
K3 K 0.0000 0.0000 0.0000
Sn1 Sn 0.0000 0.5000 0.5000
Sn2 Sn 0.6788 0.6534 0.9891
Sn3 Sn 0.3212 0.3466 0.0109
Au1 Au 0.0996 0.1573 0.6436
Au2 Au 0.9004 0.8427 0.3564
Au3 Au 0.8652 0.4393 0.8303
Au4 Au 0.1348 0.5607 0.1697
Au5 Au 0.5166 0.6653 0.3015
Au6 Au 0.4834 0.3347 0.6985
Au7 Au 0.3641 0.0298 0.2419
Au8 Au 0.6359 0.9702 0.7581
```

***

no.,DOS(E_F) (states/eV/cell),mass density (kg/m3)
1,8.4,12125
2,5.3,10155
3,0.9,6078
4,4.7,9595